# Rb3MnW2O8

A geometry-optimized Rb3MnW2O8 structure (PBE+U, Alexandria via LeMat-Bulk).

The space group is P-3m1 (No. 164) and the conventional cell measures 6.1315, 6.1315 and 7.9822 Å, with angles of 90.00, 90.00 and 120.00 degrees. Symmetry generates all atoms from Rb at (0.0000, 0.0000, 0.0000), Rb at (0.3333, 0.6667, 0.6762), Mn at (0.0000, 0.0000, 0.5000), W at (0.3333, 0.6667, 0.2443), O at (0.1696, 0.3392, 0.3302) and O at (0.3333, 0.6667, 0.0174).

As for the crystal system: trigonal. The size of the total moment comes out at 5.998 Bohr magnetons per cell. For the total energy, the calculation gives -89.77 eV per cell.